# 1
VASP calculation (PBE-GGA) on Mo2OsRh after structural relaxation.

- Relative energy among the computed polymorphs: 0.008 eV/atom
- SG: Pmm2

a b c (Å): 4.466 2.786 4.818
angles (deg): 90.02 90.00 90.00
Fractional positions:
Os 0.000 0.625 0.448
Rh 0.500 0.625 0.802
Mo 0.000 0.125 0.952
Mo 0.500 0.124 0.298

***

# 2
VASP calculation (PBE-GGA) on YPu3In12 after structural relaxation.

- Calculated total energy: -5.42 eV per atom
- SG: P4/mmm

a b c (Å): 4.659 4.659 18.569
angles (deg): 90.00 90.00 90.00
Last column: magnetic moment on the atom in μB.
Fractional positions:
Pu 0.000 0.000 0.751  5.34
In 0.000 0.500 0.875  0.00
In 0.500 0.000 0.625  0.01
In 0.500 0.000 0.125  0.00
In 0.500 0.500 0.250  0.01
In 0.000 0.500 0.625  0.01
Pu 0.000 0.000 0.500  5.35
In 0.000 0.500 0.375  0.01
Pu 0.000 0.000 0.249  5.34
In 0.500 0.500 0.750  0.01
In 0.500 0.500 0.500  0.01
In 0.500 0.500 0.000  0.00
Y 0.000 0.000 0.000  -0.01
In 0.000 0.500 0.125  0.00
In 0.500 0.000 0.375  0.01
In 0.500 0.000 0.875  0.00

***

# 3
VASP calculation (PBE-GGA) on SrCd6 after structural relaxation.

- Relative energy among the computed polymorphs: 0.551 eV/atom
- SG: Pm-3m

a b c (Å): 6.819 6.819 6.819
angles (deg): 90.00 90.00 90.00
Fractional positions:
Cd 0.500 0.500 0.195
Cd 0.500 0.805 0.500
Cd 0.805 0.500 0.500
Cd 0.500 0.195 0.500
Sr 0.000 0.000 0.000
Cd 0.195 0.500 0.500
Cd 0.500 0.500 0.805

***

# 4
VASP calculation (PBE-GGA) on ZnGa3Fe after structural relaxation.

- Relative energy among the computed polymorphs: 0.932 eV/atom
- SG: Pm-3m

a b c (Å): 4.753 4.753 4.753
angles (deg): 90.00 90.00 90.00
Last column: magnetic moment on the atom in μB.
Fractional positions:
Zn 0.000 0.000 0.000  -0.01
Ga 0.500 0.000 0.000  0.01
Ga 0.000 0.000 0.500  -0.01
Fe 0.500 0.500 0.500  -0.09
Ga 0.000 0.500 0.000  0.01

***

# 5
VASP calculation (PBE-GGA) on Dy12Er6Sc after structural relaxation.

- Relative energy among the computed polymorphs: 0.059 eV/atom
- SG: R-3m

a b c (Å): 8.589 8.589 8.589
angles (deg): 98.29 98.29 98.29
Fractional positions:
Er 0.095 0.664 0.095
Er 0.336 0.905 0.905
Dy 0.758 0.242 0.500
Dy 0.084 0.354 0.354
Dy 0.500 0.242 0.758
Dy 0.354 0.354 0.084
Er 0.095 0.095 0.664
Er 0.664 0.095 0.095
Er 0.905 0.336 0.905
Dy 0.242 0.500 0.758
Sc 0.000 0.000 0.000
Dy 0.500 0.758 0.242
Dy 0.916 0.646 0.646
Dy 0.758 0.500 0.242
Dy 0.646 0.916 0.646
Dy 0.242 0.758 0.500
Dy 0.646 0.646 0.916
Dy 0.354 0.084 0.354
Er 0.905 0.905 0.336

***

# 6
VASP calculation (PBE-GGA) on Pr5Te5F2 after structural relaxation.

- Calculated total energy: -5.45 eV per atom
- SG: C2/m

a b c (Å): 4.187 7.536 11.352
angles (deg): 98.49 90.00 106.13
Fractional positions:
Te 0.500 0.000 0.500
F 0.048 0.096 0.801
Te 0.659 0.318 0.096
Te 0.777 0.555 0.384
F 0.952 0.904 0.199
Pr 0.332 0.664 0.196
Pr 0.000 0.000 0.000
Pr 0.105 0.210 0.348
Pr 0.668 0.336 0.804
Pr 0.895 0.790 0.652
Te 0.223 0.445 0.616
Te 0.341 0.682 0.904

***

# 7
VASP calculation (PBE-GGA) on As5Pb after structural relaxation.

- Relative energy among the computed polymorphs: 0.000 eV/atom
- SG: Amm2

a b c (Å): 6.500 6.500 5.638
angles (deg): 90.00 90.00 144.71
Fractional positions:
As 0.372 0.628 0.500
As 0.382 0.618 0.000
As 0.056 0.944 0.000
Pb 0.055 0.945 0.500
As 0.730 0.270 0.000
As 0.739 0.261 0.500

***

# 8
VASP calculation (PBE-GGA) on CrReSn2 after structural relaxation.

- Relative energy among the computed polymorphs: 0.000 eV/atom
- SG: Fm-3m

a b c (Å): 4.650 4.650 4.650
angles (deg): 60.00 60.00 60.00
Last column: magnetic moment on the atom in μB.
Fractional positions:
Cr 0.000 0.000 0.000  2.95
Re 0.500 0.500 0.500  -0.17
Sn 0.750 0.750 0.750  -0.06
Sn 0.250 0.250 0.250  -0.06